Below is a geometry-optimized CrSi2Pb structure, with properties calculated at the PBE level.

Structure (extended XYZ):
```
4
Lattice="5.232 -0.001 -0.032 1.541 5.000 0.032 -2.730 -3.390 2.905" Properties=species:S:1:pos:R:3 pbc="T T T"
Cr 3.611 2.665 0.000
Pb 1.087 2.046 1.468
Si 6.498 4.796 0.000
Si 3.008 -0.399 1.436
```

Summary:
M_tot, μB per cell: 3.30
D(E_F), states/eV/cell: 2.29
Energy, eV per atom: -5.4758
Symmetry: Imm2 (44)
Uncorrected formation energy, eV per atom: 0.569